Record 1
Computed, not measured: Sm14HoCd after structural relaxation at the PBE-GGA level of DFT.

Cell: 7.1571 7.1571 10.1897 Å, 90.00 90.00 90.03°
Sites, in units of the cell vectors:
Sm 0.6253 0.3747 0.2466
Sm 0.3745 0.1246 0.5000
Sm 0.6256 0.8756 0.2460
Sm 0.1245 0.8755 0.7545
Sm 0.3762 0.1256 0.0000
Sm 0.6256 0.8756 0.7540
Sm 0.8751 0.1249 0.5000
Sm 0.8744 0.6238 0.0000
Sm 0.1245 0.8755 0.2455
Sm 0.8754 0.6255 0.5000
Sm 0.1244 0.3744 0.2460
Sm 0.6253 0.3747 0.7534
Sm 0.3750 0.6250 0.5000
Sm 0.1244 0.3744 0.7540
Ho 0.3749 0.6251 0.0000
Cd 0.8749 0.1251 0.0000

Properties
energy of formation = -0.2 kcal/mol of atoms
total magnetization = 0.0 Bohr magnetons per cell

***

Record 2
Computed, not measured: Sm3HoCd after structural relaxation at the PBE-GGA level of DFT.

Cell: 6.5036 9.9322 9.9322 Å, 82.50 100.49 100.49°
Sites, in units of the cell vectors:
Sm 0.0324 0.3306 0.4670
Sm 0.1393 0.2724 0.1288
Sm 0.9676 0.6694 0.5330
Sm 0.3667 0.6258 0.9982
Sm 0.5324 0.4670 0.3306
Sm 0.6333 0.3742 0.0018
Sm 0.3607 0.8712 0.7276
Sm 0.1333 0.0018 0.3742
Sm 0.8607 0.7276 0.8712
Sm 0.6393 0.1288 0.2724
Sm 0.4676 0.5330 0.6694
Sm 0.8667 0.9982 0.6258
Ho 0.9784 0.3974 0.7914
Ho 0.5216 0.2086 0.6026
Ho 0.0216 0.6026 0.2086
Ho 0.4784 0.7914 0.3974
Cd 0.7500 0.0824 0.9176
Cd 0.2500 0.9176 0.0824
Cd 0.2500 0.1503 0.8497
Cd 0.7500 0.8497 0.1503

Properties
energy of formation = -0.6 kcal/mol of atoms
total magnetization = 0.0 Bohr magnetons per cell

***

Record 3
Computed, not measured: SmHo3Cd after structural relaxation at the PBE-GGA level of DFT.

Cell: 3.7696 10.4771 8.0792 Å, 90.00 90.00 100.34°
Sites, in units of the cell vectors:
Sm 0.4802 0.4610 0.2500
Sm 0.5198 0.5390 0.7500
Ho 0.3098 0.1188 0.2500
Ho 0.1004 0.7012 0.4619
Ho 0.8996 0.2988 0.9619
Ho 0.1004 0.7012 0.0381
Ho 0.8996 0.2988 0.5381
Ho 0.6902 0.8812 0.7500
Cd 0.3099 0.1197 0.7500
Cd 0.6901 0.8803 0.2500

Properties
energy of formation = 1.4 kcal/mol of atoms
total magnetization = 0.0 Bohr magnetons per cell

***

Record 4
Computed, not measured: Sm7Ho3Cd after structural relaxation at the PBE-GGA level of DFT.

Cell: 8.5865 7.0329 7.0329 Å, 120.00 90.00 90.00°
Sites, in units of the cell vectors:
Cd 0.4537 0.3333 0.6667
Sm 0.4494 0.3389 0.1694
Sm 0.1173 0.1677 0.8323
Sm 0.4494 0.8306 0.6611
Sm 0.1173 0.1677 0.3354
Sm 0.1173 0.6646 0.8323
Sm 0.1133 0.6667 0.3333
Sm 0.4494 0.8306 0.1694
Ho 0.7827 0.5011 0.4989
Ho 0.7827 0.5011 0.0022
Ho 0.7827 0.9978 0.4989

Properties
energy of formation = 3.6 kcal/mol of atoms
total magnetization = 0.0 Bohr magnetons per cell

***

Record 5
Computed, not measured: Sm3HoCd3 after structural relaxation at the PBE-GGA level of DFT.

Cell: 7.6207 7.6207 7.1045 Å, 89.98 89.98 88.77°
Sites, in units of the cell vectors:
Sm 0.2561 0.2561 0.4999
Sm 0.7347 0.2653 0.0000
Sm 0.7343 0.2657 0.5000
Sm 0.2657 0.7343 0.5000
Sm 0.2653 0.7347 0.0000
Sm 0.7439 0.7439 0.5001
Ho 0.7480 0.7480 0.9999
Ho 0.2520 0.2520 0.0001
Cd 0.0000 0.4999 0.7544
Cd 0.5001 0.0000 0.2456
Cd 0.0000 0.0000 0.2488
Cd 0.4999 0.0000 0.7544
Cd 0.0000 0.5001 0.2456
Cd 0.0000 0.0000 0.7512

Properties
energy of formation = -3.3 kcal/mol of atoms
total magnetization = 1.9 Bohr magnetons per cell

***

Record 6
Computed, not measured: Sm5Ho2Cd after structural relaxation at the PBE-GGA level of DFT.

Cell: 8.1920 8.1916 6.9138 Å, 126.37 126.37 89.94°
Sites, in units of the cell vectors:
Cd 0.2011 0.2011 0.4022
Sm 0.2407 0.2407 0.9356
Sm 0.6959 0.2412 0.9371
Sm 0.6949 0.6949 0.9356
Sm 0.2413 0.6959 0.9372
Sm 0.7795 0.7795 0.5591
Ho 0.2118 0.7118 0.4236
Ho 0.7118 0.2119 0.4237

Properties
energy of formation = -0.1 kcal/mol of atoms
total magnetization = 0.0 Bohr magnetons per cell

***

Record 7
Computed, not measured: Sm3HoCd after structural relaxation at the PBE-GGA level of DFT.

Cell: 3.5598 8.3987 11.1829 Å, 107.26 99.16 90.00°
Sites, in units of the cell vectors:
Ho 0.2678 0.1811 0.5355
Ho 0.7322 0.8189 0.4645
Sm 0.0144 0.2339 0.0287
Sm 0.8246 0.5553 0.6491
Sm 0.1754 0.4447 0.3509
Sm 0.6207 0.0449 0.2415
Sm 0.3793 0.9551 0.7585
Sm 0.9856 0.7661 0.9713
Cd 0.4220 0.3990 0.8440
Cd 0.5780 0.6010 0.1560

Properties
energy of formation = -0.5 kcal/mol of atoms
total magnetization = 0.0 Bohr magnetons per cell

***

Record 8
Computed, not measured: Sm5Ho4Cd2 after structural relaxation at the PBE-GGA level of DFT.

Cell: 3.5416 8.8279 10.9332 Å, 93.74 90.00 90.00°
Sites, in units of the cell vectors:
Sm 0.0000 0.5000 0.0000
Sm 0.0000 0.4524 0.6713
Sm 0.0000 0.1989 0.1601
Sm 0.0000 0.5476 0.3287
Sm 0.0000 0.8011 0.8399
Ho 0.5000 0.8440 0.1213
Ho 0.5000 0.2291 0.4423
Ho 0.5000 0.1560 0.8787
Ho 0.5000 0.7709 0.5577
Cd 0.0000 0.0704 0.6405
Cd 0.0000 0.9296 0.3595

Properties
energy of formation = 0.1 kcal/mol of atoms
total magnetization = 0.0 Bohr magnetons per cell

***

Q: What is the formula in the first record?
A: Sm14HoCd